Below is a relaxed structure of KMg2Ta, with properties calculated at the PBE level.

Summary:
Electronic total energy (eV per atom): -2.919
Formation energy from the elements (eV/atom): 1.12
D(E_F) (states/eV/f.u.): 2.4
Energy above the most stable polymorph in this dataset (eV per atom): 0.6676
Density (g/cm³): 4.3

a b c (Å): 4.5689 4.5689 9.8790
angles (deg): 90.00 90.00 90.00
Closest atoms and distances in Å follow each position.
Space group I-4m2 (No. 119)
One atom of each set of equivalent atoms:
K1 0.0000 0.0000 0.0000 x2  8 Mg 3.23-3.36, 4 Ta 3.36
Mg1 0.0000 0.0000 0.5000 x2  4 K 3.23, 4 Ta 3.36, 4 Mg 3.36
Mg2 0.0000 0.5000 0.7500 x2  4 Ta 3.23, 4 K 3.36, 4 Mg 3.36
Ta1 0.0000 0.5000 0.2500 x2  8 Mg 3.23-3.36, 4 K 3.36